No. 1
The following is a PBE calculation of GdInNO after structural relaxation, from OQMD.

The space group is P4/nmm (No. 129, origin choice 2) and the conventional cell measures 4.9555, 4.9555 and 4.8106 Å, with angles of 90.00, 90.00 and 90.00 degrees. The inequivalent atoms are Gd at (0.2500, 0.7500, 0.0000), In at (0.2500, 0.2500, 0.4998), N at (0.2500, 0.2500, 0.0012) and O at (0.2500, 0.7500, 0.5000).

For the final energy, the calculation gives -6.465 eV per atom. As for the volume: 14.77 Å³ per atom. The energy above the most stable polymorph in this dataset is 0.159 eV per atom.

---

No. 2
The following is a PBE calculation of NaLuGe after structural relaxation, from OQMD.

The space group is F-43m (No. 216) and the conventional cell measures 6.7904, 6.7904 and 6.7904 Å, with angles of 90.00, 90.00 and 90.00 degrees. The inequivalent atoms are Na at (0.0000, 0.0000, 0.0000), Lu at (0.0000, 0.0000, 0.5000) and Ge at (0.2500, 0.2500, 0.7500).

For the final energy, the calculation gives -3.783 eV per atom. As for the volume: 26.09 Å³ per atom.

---

No. 3
The following is a PBE calculation of ZnInPb after structural relaxation, from OQMD.

The space group is Pnma (No. 62) and the conventional cell measures 6.8607, 4.3727 and 10.0912 Å, with angles of 90.00, 90.00 and 90.00 degrees. The inequivalent atoms are Zn at (0.1491, 0.2500, 0.2396), In at (0.1279, 0.2500, 0.5718) and Pb at (0.1191, 0.2500, 0.8910).

For the final energy, the calculation gives -2.436 eV per atom. As for the volume: 25.23 Å³ per atom. The energy above the most stable polymorph in this dataset is 0.004 eV per atom.

---

No. 4
The following is a PBE calculation of FeB2Pt after structural relaxation, from OQMD.

The space group is F-43m (No. 216) and the conventional cell measures 5.5291, 5.5291 and 5.5291 Å, with angles of 90.00, 90.00 and 90.00 degrees. The inequivalent atoms are Fe at (0.0000, 0.0000, 0.0000), B at (0.0000, 0.0000, 0.5000), B at (0.2500, 0.2500, 0.2500) and Pt at (0.2500, 0.2500, 0.7500).

For the final energy, the calculation gives -5.949 eV per atom. As for the volume: 10.56 Å³ per atom.